VASP calculation (GGA-PBE) on a relaxed HfTlCrHg2 crystal.

The space group is P4/mmm (No. 123) and the conventional cell measures 5.6097, 5.6097 and 4.8359 Å, with angles of 90.00, 90.00 and 90.00 degrees. The inequivalent atoms are Hf at (0.0000, 0.0000, 0.0000), Tl at (0.5000, 0.5000, 0.5000), Cr at (0.0000, 0.0000, 0.5000) and Hg at (0.0000, 0.5000, 0.0000).

The calculation puts the raw total energy at -0.1328 Ha/atom. Its magnetization is 0.463 μB/atom. The formation energy comes out at 0.895 eV per atom.



VASP calculation (GGA-PBE) on a relaxed HoHfCr4 crystal.

The space group is F-43m (No. 216) and the conventional cell measures 7.2107, 7.2107 and 7.2107 Å, with angles of 90.00, 90.00 and 90.00 degrees. The inequivalent atoms are Ho at (0.0000, 0.0000, 0.0000), Hf at (0.2500, 0.2500, 0.2500) and Cr at (0.1251, 0.1251, 0.6251).

The calculation puts the raw total energy at -0.3195 Ha/atom. Its magnetization is 0.000 μB/atom. The formation energy comes out at 0.144 eV per atom.



raw total energy of number 1 (HfTlCrHg2)? -0.1328 Ha/atom